13
Lattice="-4.958 3.666 0.299 -2.041 -1.510 5.631 4.578 7.243 8.149" Properties=species:S:1:pos:R:3 comment="Tb8Sm3Tm2 | the Alexandria database | PBE | relaxed" ef_ev_per_atom=0.02 rho_g_cm3=8.22 sg="No. 2" volume_a3_per_fu=416 relative_energy_mev_per_atom=0 total_magnetization_mub_per_cell=0.00 pbc="T T T"
Tb 0.180 4.755 8.137
Tb -0.299 5.567 11.573
Tm -3.081 5.433 9.384
Sm -3.721 1.502 4.690
Tb -1.982 8.560 10.631
Tb -1.523 7.749 7.187
Tb -0.439 0.838 3.447
Sm 1.300 7.897 9.389
Tm 0.660 3.965 4.695
Tb -0.898 1.650 6.892
Tb -2.122 3.831 2.506
Sm 0.000 0.000 0.000
Tb -2.601 4.643 5.942

---

5
Lattice="-3.086 3.849 1.875 -3.917 -3.472 0.681 1.597 -0.917 4.512" Properties=species:S:1:pos:R:3 comment="GaSiSeBr2 | the Alexandria database | PBE | relaxed" rho_g_cm3=4.12 sg="No. 123" volume_a3_per_fu=136 relative_energy_mev_per_atom=0 total_magnetization_mub_per_cell=0.00 pbc="T T T"
Br -1.958 -1.736 0.340
Si 0.000 0.000 0.000
Br -1.543 1.925 0.937
Ga -2.703 -0.270 3.534
Se 0.798 -0.458 2.256